Entry 1:
LiPr2HPd6 (PBE, relaxed); SG = P-1, No. 2; magnetization = 0.000 μB per formula unit
1.0
5.963 0.000 0.000
2.974 5.382 0.000
2.971 -1.476 5.227
Li Pr H Pd
1 2 1 6
Direct
0.000 0.000 0.000
0.498 0.239 0.765
0.502 0.761 0.235
0.000 0.500 0.500
0.003 0.266 0.729
0.026 0.722 0.719
0.467 0.278 0.280
0.533 0.722 0.720
0.974 0.278 0.281
0.997 0.734 0.271

=====

Entry 2:
LiH6Pd2Pt (PBE, relaxed); SG = P1, No. 1; magnetization = 0.000 μB per formula unit
1.0
4.543 0.000 0.000
2.133 4.255 0.000
2.130 0.878 4.720
Li H Pd Pt
1 6 2 1
Direct
0.000 0.000 0.000
0.243 0.768 0.506
0.355 0.432 0.156
0.508 0.978 0.973
0.669 0.234 0.464
0.830 0.696 0.322
0.942 0.465 0.921
0.399 0.405 0.821
0.793 0.812 0.618
0.583 0.597 0.218

=====

Entry 3:
Li2H6PdPt (PBE, relaxed); SG = P-1, No. 2; magnetization = 0.000 μB per formula unit
1.0
4.954 0.000 0.000
-2.476 4.292 0.000
-2.474 -1.430 4.048
Li H Pd Pt
2 6 1 1
Direct
0.001 0.251 0.251
0.999 0.749 0.749
0.013 0.295 0.758
0.459 0.215 0.757
0.464 0.260 0.247
0.536 0.740 0.753
0.541 0.785 0.243
0.987 0.705 0.242
0.500 0.000 0.500
0.500 0.500 0.000

=====

Entry 4:
LiH4PdPt (PBE, relaxed); SG = Imma, No. 74; magnetization = 0.000 μB per formula unit
1.0
-2.863 2.884 4.089
2.863 -2.884 4.089
2.863 2.884 -4.089
Li H Pd Pt
2 8 2 2
Direct
0.367 0.117 0.250
0.633 0.883 0.750
0.187 0.735 0.452
0.217 0.265 0.952
0.219 0.255 0.536
0.219 0.683 0.964
0.781 0.317 0.036
0.781 0.745 0.464
0.783 0.735 0.048
0.813 0.265 0.548
0.000 0.500 0.500
0.500 0.500 0.000
0.000 0.000 0.500
0.000 0.500 0.000

=====

Entry 5:
Li2HPdPt (PBE, relaxed); relative energy among the computed polymorphs = 0.020 eV per atom; SG = P4/mmm, No. 123; magnetization = 0.000 μB per formula unit
1.0
3.960 0.000 0.000
0.000 3.960 0.000
0.000 0.000 3.657
Li H Pd Pt
2 1 1 1
Direct
0.000 0.500 0.000
0.500 0.000 0.000
0.000 0.000 0.000
0.000 0.000 0.500
0.500 0.500 0.500

=====

Entry 6:
LiHPdPt (PBE, relaxed); relative energy among the computed polymorphs = 0.323 eV per atom; SG = F-43m, No. 216; magnetization = 0.000 μB per formula unit
1.0
0.000 2.823 2.823
2.823 0.000 2.823
2.823 2.823 0.000
Li H Pd Pt
1 1 1 1
Direct
0.000 0.000 0.000
0.500 0.500 0.500
0.250 0.250 0.250
0.750 0.750 0.750

=====

Entry 7:
Li2HPdPt (PBE, relaxed); relative energy among the computed polymorphs = 0.000 eV per atom; SG = P4/mmm, No. 123; magnetization = 0.000 μB per formula unit
1.0
4.002 0.000 0.000
0.000 4.002 0.000
0.000 0.000 3.607
Li H Pd Pt
2 1 1 1
Direct
0.000 0.500 0.000
0.500 0.000 0.000
0.000 0.000 0.000
0.500 0.500 0.500
0.000 0.000 0.500

=====

Entry 8:
LiH5Pd2Pt (PBE, relaxed); SG = Immm, No. 71; magnetization = 0.000 μB per formula unit
1.0
-1.793 2.309 4.913
1.793 -2.309 4.913
1.793 2.309 -4.913
Li H Pd Pt
1 5 2 1
Direct
0.000 0.000 0.000
0.110 0.365 0.745
0.380 0.635 0.745
0.500 0.000 0.500
0.620 0.365 0.255
0.890 0.635 0.255
0.269 0.769 0.500
0.731 0.231 0.500
0.500 0.500 0.000

=====

Entry 9:
Li2H4Pd2Pt (PBE, relaxed); SG = C2/m, No. 12; magnetization = 0.000 μB per formula unit
1.0
7.333 -1.448 0.000
7.333 1.448 0.000
-1.103 0.000 4.004
Li H Pd Pt
2 4 2 1
Direct
0.116 0.116 0.121
0.884 0.884 0.879
0.276 0.276 0.762
0.434 0.434 0.288
0.566 0.566 0.712
0.724 0.724 0.238
0.307 0.307 0.308
0.693 0.693 0.692
0.000 0.000 0.500

=====

Entry 10:
Li2H4PdPt (PBE, relaxed); SG = I-4, No. 82; magnetization = 0.000 μB per formula unit
1.0
-2.611 2.611 2.751
2.611 -2.611 2.751
2.611 2.611 -2.751
Li H Pd Pt
2 4 1 1
Direct
0.000 0.000 0.000
0.750 0.250 0.500
0.114 0.057 0.639
0.418 0.475 0.361
0.525 0.886 0.943
0.943 0.582 0.057
0.500 0.500 0.000
0.250 0.750 0.500

=====

Entry 11:
LiHPdPt (PBE, relaxed); relative energy among the computed polymorphs = 0.000 eV per atom; SG = Cm, No. 8; magnetization = 0.000 μB per formula unit
1.0
5.555 -1.437 0.000
5.555 1.437 0.000
-0.738 0.000 2.779
Li H Pd Pt
1 1 1 1
Direct
0.000 0.000 0.000
0.811 0.811 0.812
0.341 0.341 0.342
0.643 0.643 0.641

=====

Entry 12:
LiPuH8Pd4 (PBE, relaxed); SG = R3m, No. 160; magnetization = 5.630 μB per formula unit
1.0
2.942 1.699 4.472
-2.942 1.699 4.472
0.000 -3.397 4.472
Li Pu H Pd
1 1 8 4
Direct
0.000 0.000 0.000
0.609 0.609 0.609
0.163 0.769 0.769
0.236 0.236 0.236
0.259 0.259 0.767
0.259 0.767 0.259
0.767 0.259 0.259
0.769 0.163 0.769
0.769 0.769 0.163
0.776 0.776 0.776
0.372 0.372 0.372
0.491 0.997 0.997
0.997 0.491 0.997
0.997 0.997 0.491

=====

Entry 13:
LiHPdRh2 (PBE, relaxed); relative energy among the computed polymorphs = 0.000 eV per atom; SG = P4/mmm, No. 123; magnetization = 0.000 μB per formula unit
1.0
3.825 0.000 0.000
0.000 3.825 0.000
0.000 0.000 3.955
Li H Pd Rh
1 1 1 2
Direct
0.000 0.000 0.000
0.000 0.000 0.500
0.500 0.500 0.000
0.000 0.500 0.500
0.500 0.000 0.500

=====

Entry 14:
LiHPdRh2 (PBE, relaxed); relative energy among the computed polymorphs = 0.039 eV per atom; SG = P4/mmm, No. 123; magnetization = 0.000 μB per formula unit
1.0
3.843 0.000 0.000
0.000 3.843 0.000
0.000 0.000 3.997
Li H Pd Rh
1 1 1 2
Direct
0.000 0.000 0.000
0.500 0.500 0.500
0.500 0.500 0.000
0.000 0.500 0.500
0.500 0.000 0.500

=====

Entry 15:
LiHPd2Rh (PBE, relaxed); relative energy among the computed polymorphs = 0.063 eV per atom; SG = P4/mmm, No. 123; magnetization = 0.000 μB per formula unit
1.0
3.879 0.000 0.000
0.000 3.879 0.000
0.000 0.000 3.950
Li H Pd Rh
1 1 2 1
Direct
0.000 0.000 0.000
0.000 0.000 0.500
0.000 0.500 0.500
0.500 0.000 0.500
0.500 0.500 0.000

=====

Entry 16:
Li3H8Pd3Rh (PBE, relaxed); SG = R-3m, No. 166; magnetization = 0.000 μB per formula unit
1.0
2.940 1.698 4.436
-2.940 1.698 4.436
0.000 -3.395 4.436
Li H Pd Rh
3 8 3 1
Direct
0.000 0.500 0.500
0.500 0.000 0.500
0.500 0.500 0.000
0.228 0.228 0.228
0.261 0.718 0.718
0.282 0.282 0.739
0.282 0.739 0.282
0.718 0.261 0.718
0.718 0.718 0.261
0.739 0.282 0.282
0.772 0.772 0.772
0.000 0.000 0.500
0.000 0.500 0.000
0.500 0.000 0.000
0.500 0.500 0.500

=====

Entry 17:
LiH8Pd2Rh3 (PBE, relaxed); SG = R3m, No. 160; magnetization = 0.000 μB per formula unit
1.0
2.797 1.615 4.529
-2.797 1.615 4.529
0.000 -3.230 4.529
Li H Pd Rh
1 8 2 3
Direct
0.000 0.000 0.000
0.365 0.365 0.848
0.365 0.848 0.365
0.386 0.386 0.386
0.436 0.864 0.864
0.848 0.365 0.365
0.852 0.852 0.852
0.864 0.436 0.864
0.864 0.864 0.436
0.250 0.250 0.250
0.621 0.621 0.621
0.124 0.623 0.623
0.623 0.124 0.623
0.623 0.623 0.124

=====

Entry 18:
LiH4PdRh (PBE, relaxed); SG = Imma, No. 74; magnetization = 0.000 μB per formula unit
1.0
-2.823 2.853 3.963
2.823 -2.853 3.963
2.823 2.853 -3.963
Li H Pd Rh
2 8 2 2
Direct
0.363 0.113 0.250
0.637 0.887 0.750
0.196 0.250 0.946
0.197 0.750 0.446
0.221 0.259 0.538
0.221 0.683 0.962
0.779 0.317 0.038
0.779 0.741 0.462
0.803 0.250 0.554
0.804 0.750 0.054
0.000 0.500 0.500
0.500 0.500 0.000
0.000 0.000 0.500
0.000 0.500 0.000

=====

Entry 19:
LiH6PdRh (PBE, relaxed); SG = P-31c, No. 163; magnetization = 0.000 μB per formula unit
1.0
5.104 0.000 0.000
-2.552 4.420 0.000
0.000 0.000 6.025
Li H Pd Rh
2 12 2 2
Direct
0.000 0.000 0.000
0.000 0.000 0.500
0.011 0.345 0.169
0.011 0.666 0.331
0.334 0.345 0.331
0.334 0.989 0.169
0.345 0.011 0.669
0.345 0.334 0.831
0.655 0.666 0.169
0.655 0.989 0.331
0.666 0.011 0.831
0.666 0.655 0.669
0.989 0.334 0.669
0.989 0.655 0.831
0.333 0.667 0.750
0.667 0.333 0.250
0.333 0.667 0.250
0.667 0.333 0.750

=====

Entry 20:
LiH7Pd2Rh2 (PBE, relaxed); SG = Imm2, No. 44; magnetization = 0.000 μB per formula unit
1.0
-1.588 7.553 2.140
1.588 -7.553 2.140
1.588 7.553 -2.140
Li H Pd Rh
1 7 2 2
Direct
0.000 0.000 0.000
0.195 0.591 0.604
0.236 0.952 0.284
0.362 0.428 0.935
0.493 0.428 0.065
0.668 0.952 0.716
0.703 0.203 0.500
0.987 0.591 0.396
0.217 0.497 0.720
0.776 0.497 0.280
0.394 0.993 0.401
0.592 0.993 0.599

=====

Number 1: total energy -51.773 eV/cell. Number 2: total energy -39.851 eV/cell. Number 3: total energy -38.523 eV/cell. Number 4: total energy -55.406 eV/cell. Number 5: total energy -20.457 eV/cell. Number 6: total energy -16.208 eV/cell. Number 7: total energy -20.556 eV/cell. Number 8: total energy -36.513 eV/cell. Number 9: total energy -36.427 eV/cell. Number 10: total energy -30.982 eV/cell. Number 11: total energy -17.499 eV/cell. Number 12: total energy -66.066 eV/cell. Number 13: total energy -25.882 eV/cell. Number 14: total energy -25.689 eV/cell. Number 15: total energy -23.561 eV/cell. Number 16: total energy -59.531 eV/cell. Number 17: total energy -62.724 eV/cell. Number 18: total energy -58.736 eV/cell. Number 19: total energy -69.966 eV/cell. Number 20: total energy -51.328 eV/cell.